Arrangement P

The following is a PBE calculation of a geometry-optimized Sr2LiH8O6 structure, from Alexandria.

Cell and atoms, written as extended XYZ:
```
17
Lattice="-0.099 3.929 -0.478 -0.677 -0.720 -5.777 -9.000 -0.198 0.239" Properties=species:S:1:pos:R:3 pbc="T T T"
H -1.198 1.656 -2.534
O -3.946 -0.192 -0.761
H -3.534 3.020 -0.752
O -3.214 1.229 -5.622
O -7.732 -0.694 -4.100
H -5.917 1.357 -4.017
O -6.303 1.822 -0.116
H -1.913 1.873 -0.607
H -7.430 0.043 -4.750
H -7.489 2.379 -5.035
H -5.325 1.848 -0.102
H -3.474 0.645 -0.463
O -1.706 1.542 -3.368
Li -3.609 1.456 -3.680
O -5.436 1.471 -3.174
Sr -1.298 -0.581 -4.507
Sr -6.306 -0.368 -1.719
```

Values from the calculation:
density of states at the Fermi level = 0.0389 states/eV per atom
SG = Pm
size of the total moment = 0.00 μB/f.u.

***

Arrangement Q

The following is a PBE calculation of a geometry-optimized Sr2LiH8O6 structure, from Alexandria.

Cell and atoms, written as extended XYZ:
```
17
Lattice="3.520 0.019 0.007 -0.042 7.487 0.192 -0.015 -0.091 7.512" Properties=species:S:1:pos:R:3 pbc="T T T"
Sr -0.028 2.931 5.792
O 1.743 1.141 5.634
O 1.729 4.040 4.148
H 2.699 1.117 2.786
H 1.746 0.831 4.691
O 1.741 3.314 0.259
H 0.798 1.106 2.782
O 3.508 1.358 2.202
H 2.745 -0.047 6.285
H 1.724 5.008 4.316
Sr 3.493 4.109 2.094
H 1.727 5.799 0.588
H 0.751 -0.058 6.281
O -0.052 6.897 6.871
O 1.724 5.925 1.559
Li -0.042 7.067 1.324
H 1.746 2.351 0.450
```

Values from the calculation:
density of states at the Fermi level = 0.0418 states/eV per atom
SG = Pm
size of the total moment = 0.00 μB/f.u.

***

Relative to the most stable structure, the computed energies are arrangement P 10; arrangement Q 0, all in meV/atom.